Material: BiPCl
Method: DFT, PBE
State: relaxed

a b c (Å): 3.3715 5.1550 9.4366
angles (deg): 103.53 93.75 107.91
Space group P1 (No. 1)
One atom of each set of equivalent atoms:
Bi  0.0000  0.0000  0.0000 [1 per cell]
Bi  0.2128  0.2554  0.4999 [1 per cell]
P  0.2802  0.4691  0.2493 [1 per cell]
P  0.9212  0.7658  0.2490 [1 per cell]
Cl  0.2421  0.4481  0.8685 [1 per cell]
Cl  0.5600  0.8389  0.6280 [1 per cell]

Results
The calculated volume is 25.01 Å³ per atom. Its uncorrected formation energy is -106.8 kJ/mol of formula units. The calculation puts the total energy at -24.49 eV for the cell shown.